DFT (PBE) results for an optimized crystal structure of CsY3Rh.

Values from the calculation:
Energy of formation, eV per atom: 1.618
Space-group type: Pm-3m (221)
Energy, eV per cell: -19.51
ΔE to the lowest computed polymorph, meV per atom: 1650
Volume, Å³/cell: 163

Lattice parameters (Å, degrees): 5.460 5.460 5.460 90.00 90.00 90.00
Element x y z (fractional)
Cs 0.000 0.000 0.000
Rh 0.500 0.500 0.500
Y 0.000 0.000 0.500
Y 0.000 0.500 0.000
Y 0.500 0.000 0.000